No. 1
# ErScNi | Alexandria via LeMat-Bulk | PBE | relaxed
data_ErScNi
_cell_length_a 6.456
_cell_length_b 6.456
_cell_length_c 6.456
_cell_angle_alpha 90.00
_cell_angle_beta 90.00
_cell_angle_gamma 90.00
_symmetry_space_group_name_H-M 'F -4 3 m'
_symmetry_Int_Tables_number 216
_symmetry_space_group_name_Hall 'F -4 2 3'
loop_
_atom_site_label
_atom_site_type_symbol
_atom_site_fract_x
_atom_site_fract_y
_atom_site_fract_z
_atom_site_occupancy
Er1 Er 0.000 0.000 0.000 1
Sc1 Sc 0.000 0.000 0.500 1
Ni1 Ni 0.250 0.250 0.250 1
# excess energy over the best structure of this formula in the dataset = 0.159 eV/atom
# energy relative to the elements = -17 kJ/mol of atoms

***

No. 2
# AlCu3Bi4O12 | Alexandria via LeMat-Bulk | PBE | relaxed
data_AlCu3Bi4O12
_cell_length_a 8.203
_cell_length_b 8.203
_cell_length_c 8.203
_cell_angle_alpha 90.00
_cell_angle_beta 90.00
_cell_angle_gamma 90.00
_symmetry_space_group_name_H-M 'I m -3'
_symmetry_Int_Tables_number 204
_symmetry_space_group_name_Hall '-I 2 2 3'
loop_
_atom_site_label
_atom_site_type_symbol
_atom_site_fract_x
_atom_site_fract_y
_atom_site_fract_z
_atom_site_occupancy
Al1 Al 0.000 0.000 0.000 1
Cu1 Cu 0.000 0.000 0.500 1
Bi1 Bi 0.250 0.250 0.250 1
O1 O 0.000 0.158 0.328 1
# formation energy from raw total energies = -0.7731 eV per atom

***

No. 3
# NiPd6Pt2 | Alexandria via LeMat-Bulk | PBE | relaxed
data_NiPd6Pt2
_cell_length_a 8.754
_cell_length_b 3.923
_cell_length_c 8.311
_cell_angle_alpha 90.00
_cell_angle_beta 108.16
_cell_angle_gamma 90.00
_symmetry_space_group_name_H-M 'C 1 2/m 1'
_symmetry_Int_Tables_number 12
loop_
_symmetry_equiv_pos_as_xyz
'x,y,z'
'-x,-y,-z'
'-x,y,-z'
'x,-y,z'
'x+1/2,y+1/2,z'
'-x+1/2,-y+1/2,-z'
'-x+1/2,y+1/2,-z'
'x+1/2,-y+1/2,z'
loop_
_atom_site_label
_atom_site_type_symbol
_atom_site_fract_x
_atom_site_fract_y
_atom_site_fract_z
_atom_site_occupancy
Ni1 Ni 0.000 0.000 0.000 1
Pd1 Pd 0.003 0.000 0.672 1
Pd2 Pd 0.160 0.500 0.215 1
Pd3 Pd 0.169 0.500 0.893 1
Pt1 Pt 0.167 0.500 0.555 1
# excess energy over the best structure of this formula in the dataset = 0.010 eV/atom
# energy relative to the elements = 0 kJ/mol of atoms

***

No. 4
# LiSiTe2I | Alexandria via LeMat-Bulk | PBE | relaxed
data_LiSiTe2I
_cell_length_a 5.162
_cell_length_b 5.162
_cell_length_c 5.202
_cell_angle_alpha 90.00
_cell_angle_beta 90.00
_cell_angle_gamma 90.00
_symmetry_space_group_name_H-M 'P 4/m m m'
_symmetry_Int_Tables_number 123
_symmetry_space_group_name_Hall '-P 4 2'
loop_
_atom_site_label
_atom_site_type_symbol
_atom_site_fract_x
_atom_site_fract_y
_atom_site_fract_z
_atom_site_occupancy
Li1 Li 0.000 0.000 0.000 1
Si1 Si 0.500 0.500 0.500 1
Te1 Te 0.000 0.500 0.000 1
I1 I 0.000 0.000 0.500 1
# excess energy over the best structure of this formula in the dataset = 0.408 eV/atom
# formation energy from raw total energies = 0.4522 eV per atom

***

No. 5
# Dy2HoZr | Alexandria via LeMat-Bulk | PBE | relaxed
data_Dy2HoZr
_cell_length_a 3.3512
_cell_length_b 3.3512
_cell_length_c 35.7945
_cell_angle_alpha 90.00
_cell_angle_beta 90.00
_cell_angle_gamma 120.00
_symmetry_space_group_name_H-M 'R -3 m'
_symmetry_Int_Tables_number 166
_symmetry_space_group_name_Hall '-R 3 2"'
loop_
_atom_site_label
_atom_site_type_symbol
_atom_site_fract_x
_atom_site_fract_y
_atom_site_fract_z
_atom_site_occupancy
Dy1 Dy 0.0000 0.0000 0.0867 1
Ho1 Ho 0.0000 0.0000 0.5000 1
Zr1 Zr 0.0000 0.0000 0.0000 1
# excess energy over the best structure of this formula in the dataset = 0.215 eV/atom
# energy relative to the elements = 28 kJ/mol of atoms

***

No. 6
# Zn2PtAu | Alexandria via LeMat-Bulk | PBE | relaxed
data_Zn2PtAu
_cell_length_a 9.587
_cell_length_b 2.887
_cell_length_c 4.609
_cell_angle_alpha 90.00
_cell_angle_beta 103.94
_cell_angle_gamma 90.00
_symmetry_space_group_name_H-M 'C 1 m 1'
_symmetry_Int_Tables_number 8
loop_
_symmetry_equiv_pos_as_xyz
'x,y,z'
'x,-y,z'
'x+1/2,y+1/2,z'
'x+1/2,-y+1/2,z'
loop_
_atom_site_label
_atom_site_type_symbol
_atom_site_fract_x
_atom_site_fract_y
_atom_site_fract_z
_atom_site_occupancy
Zn1 Zn 0.000 0.000 0.000 1
Zn2 Zn 0.241 0.500 0.342 1
Pt1 Pt 0.483 0.000 0.485 1
Au1 Au 0.252 0.000 0.845 1
# energy relative to the elements = -33 kJ/mol of atoms